1.
CsErO2 after structural relaxation, computed with GGA-PBEsol.

```
CsErO2
1.0
3.4691 0.0000 0.0000
-1.7345 3.0043 0.0000
0.0000 0.0000 13.4594
Er O Cs
2 4 2
direct
0.0000 0.0000 0.0000 Er
0.0000 0.0000 0.5000 Er
0.3333 0.6667 0.0822 O
0.3333 0.6667 0.4178 O
0.6667 0.3333 0.5822 O
0.6667 0.3333 0.9178 O
0.3333 0.6667 0.7500 Cs
0.6667 0.3333 0.2500 Cs
```

Results
The calculation puts the total magnetization at 0.00 μB/atom. Its uncorrected energy is -6.824 eV/atom. The calculation puts the theoretical density at 7.86 g cm⁻³.



2.
CsErP4O12 after structural relaxation, computed with GGA-PBEsol.

```
CsErP4O12
1.0
-6.9302 1.0452 -5.3663
1.2073 -9.5497 -3.4192
-6.8573 -0.6038 8.7382
P O Cs Er
16 48 4 4
direct
0.3282 0.4591 0.1282 P
0.4100 0.1484 0.7561 P
0.1123 0.3272 0.5272 P
0.6718 0.5409 0.8718 P
0.9100 0.3516 0.7439 P
0.8877 0.6728 0.4728 P
0.1718 0.9591 0.6282 P
0.5266 0.7569 0.7863 P
0.3877 0.8272 0.0272 P
0.5900 0.8516 0.2439 P
0.0900 0.6484 0.2561 P
0.9734 0.2569 0.2863 P
0.8282 0.0409 0.3718 P
0.6123 0.1728 0.9728 P
0.4734 0.2431 0.2137 P
0.0266 0.7431 0.7137 P
0.5852 0.3534 0.2740 O
0.5962 0.8340 0.7049 O
0.1730 0.1852 0.4817 O
0.2438 0.9387 0.5029 O
0.4544 0.9005 0.3248 O
0.7083 0.9763 0.2603 O
0.9531 0.3279 0.5994 O
0.3270 0.6852 0.9817 O
0.0456 0.4005 0.8248 O
0.5456 0.0995 0.6752 O
0.6730 0.3148 0.0183 O
0.4038 0.1660 0.2951 O
0.9525 0.6327 0.5937 O
0.3246 0.2694 0.7421 O
0.8246 0.2306 0.7579 O
0.8270 0.8148 0.5183 O
0.1754 0.7694 0.2421 O
0.2083 0.5237 0.2397 O
0.7917 0.4763 0.7603 O
0.4148 0.6466 0.7260 O
0.0962 0.6660 0.7951 O
0.3405 0.3091 0.1494 O
0.9148 0.8534 0.7740 O
0.9038 0.3340 0.2049 O
0.9740 0.9646 0.3389 O
0.0852 0.1466 0.2260 O
0.2917 0.0237 0.7397 O
0.2562 0.4387 0.0029 O
0.2146 0.4376 0.6018 O
0.0260 0.0354 0.6611 O
0.0475 0.3673 0.4063 O
0.5475 0.1327 0.0937 O
0.6754 0.7306 0.2579 O
0.7146 0.0624 0.8982 O
0.7854 0.5624 0.3982 O
0.7438 0.5613 0.9971 O
0.4740 0.5354 0.1611 O
0.8405 0.1909 0.3506 O
0.6595 0.6909 0.8506 O
0.4531 0.1721 0.9006 O
0.5469 0.8279 0.0994 O
0.1595 0.8091 0.6494 O
0.5260 0.4646 0.8389 O
0.4525 0.8673 0.9063 O
0.2854 0.9376 0.1018 O
0.9544 0.5995 0.1752 O
0.0469 0.6721 0.4006 O
0.7562 0.0613 0.4971 O
0.4363 0.6798 0.4592 Cs
0.0637 0.1798 0.9592 Cs
0.5637 0.3202 0.5408 Cs
0.9363 0.8202 0.0408 Cs
0.2266 0.0030 0.3179 Er
0.2734 0.5030 0.8179 Er
0.7266 0.4970 0.1821 Er
0.7734 0.9970 0.6821 Er
```

Results
The calculation puts the total magnetization at 0.00 μB/atom. Its uncorrected energy is -7.605 eV/atom. The calculation puts the theoretical density at 4.26 g cm⁻³.



3.
CsErP2O7 after structural relaxation, computed with GGA-PBEsol.

```
CsErP2O7
1.0
-2.6707 5.4862 4.9952
-7.1917 -3.2315 -3.8167
-0.7779 -7.4786 7.7977
Er O Cs P
4 28 4 8
direct
0.2635 0.2459 0.0992 Er
0.7365 0.2541 0.5992 Er
0.2635 0.7459 0.4008 Er
0.7365 0.7541 0.9008 Er
0.1084 0.7277 0.5712 O
0.8204 0.2945 0.9396 O
0.4980 0.2717 0.4979 O
0.5847 0.7589 0.7274 O
0.6516 0.4990 0.9126 O
0.3484 0.0010 0.4126 O
0.1739 0.4861 0.3940 O
0.5020 0.7283 0.5021 O
0.8916 0.7723 0.0712 O
0.3484 0.5010 0.0874 O
0.1795 0.2055 0.4396 O
0.5020 0.2283 0.9979 O
0.5847 0.2589 0.7726 O
0.8261 0.5139 0.6060 O
0.4153 0.7411 0.2274 O
0.6516 0.9990 0.5874 O
0.8204 0.7945 0.5604 O
0.1739 0.9861 0.1060 O
0.9390 0.2293 0.7328 O
0.8916 0.2723 0.4288 O
0.4980 0.7717 0.0021 O
0.0610 0.7707 0.2672 O
0.0610 0.2707 0.2328 O
0.1084 0.2277 0.9288 O
0.4153 0.2411 0.2726 O
0.1795 0.7055 0.0604 O
0.9390 0.7293 0.7672 O
0.8261 0.0139 0.8940 O
0.6941 0.5555 0.3139 Cs
0.3059 0.9445 0.8139 Cs
0.3059 0.4445 0.6861 Cs
0.6941 0.0555 0.1861 Cs
0.3688 0.1770 0.4033 P
0.9273 0.6836 0.6309 P
0.9273 0.1836 0.8691 P
0.0727 0.3164 0.3691 P
0.3688 0.6770 0.0967 P
0.6312 0.3230 0.9033 P
0.6312 0.8230 0.5967 P
0.0727 0.8164 0.1309 P
```

Results
The calculation puts the total magnetization at 0.00 μB/atom. Its uncorrected energy is -7.667 eV/atom. The calculation puts the theoretical density at 4.35 g cm⁻³.



4.
CsErZnTe3 after structural relaxation, computed with GGA-PBEsol.

```
CsErZnTe3
1.0
4.3159 0.0000 0.0000
-2.1580 8.3845 0.0000
0.0000 0.0000 11.4241
Te Zn Cs Er
6 2 2 2
direct
0.3787 0.7575 0.5558 Te
0.9391 0.8782 0.2500 Te
0.0609 0.1218 0.7500 Te
0.6213 0.2425 0.4442 Te
0.6213 0.2425 0.0558 Te
0.3787 0.7575 0.9442 Te
0.4627 0.9253 0.7500 Zn
0.5373 0.0747 0.2500 Zn
0.2527 0.5053 0.2500 Cs
0.7473 0.4947 0.7500 Cs
0.0000 0.0000 0.0000 Er
0.0000 0.0000 0.5000 Er
```

Results
The calculation puts the total magnetization at 0.00 μB/atom. Its uncorrected energy is -4.070 eV/atom. The calculation puts the theoretical density at 6.01 g cm⁻³.